KMnAgBr5: relaxed, GGA-PBE.

DOS(E_F): 10.121 states/eV per cell
total magnetic moment: 16.20 Bohr magnetons per cell
formation energy without anion corrections: -0.83 eV/atom
density: 3.7 g cm⁻³

Cell lengths 8.9355, 13.3833, 9.6863 Å; angles 90.00, 111.91, 90.00 degrees
Last column: nearest neighbours and their distance in Å.
Space group C2/c (No. 15)
Unique sites:
1 K 0.0000 0.1714 0.2500 [4 per cell]  7 Br 3.38-3.49
2 Mn 0.0000 0.1617 0.7500 [4 per cell]  4 Br 2.42-2.43
3 Ag 0.0000 0.5000 0.0000 [4 per cell]  4 Br 2.63-2.85
4 Br 0.0000 0.4238 0.2500 [4 per cell]  2 Ag 2.63
5 Br 0.0887 0.2742 0.6002 [8 per cell]  1 Mn 2.42
6 Br 0.1694 0.0469 0.9368 [8 per cell]  1 Mn 2.43



InCu3: relaxed, GGA-PBE.

DOS(E_F): 7.572 states/eV per cell
total magnetic moment: 0.00 Bohr magnetons per cell
energy of formation from the pure elements: 0.208 eV/atom
density: 7.6 g cm⁻³

Cell lengths 7.6501, 8.6949, 4.0023 Å; angles 90.00, 90.00, 90.00 degrees
Last column: nearest neighbours and their distance in Å.
Space group Cmcm (No. 63)
Unique sites:
1 In 0.0000 0.1224 0.2500 [4 per cell]  7 Cu 2.62-2.84, 2 In 2.92
2 Cu 0.0000 0.4241 0.2500 [4 per cell]  8 Cu 2.40-2.66, 1 In 2.62
3 Cu 0.1620 0.3055 0.7500 [8 per cell]  6 Cu 2.48-2.66, 1 In 2.66



SbIrS: relaxed, GGA-PBE.

E above lowest polymorph: 478 meV per atom
DOS(E_F): 2.775 states/eV per cell
total magnetic moment: 0.00 Bohr magnetons per cell
formation energy without anion corrections: 0.00 eV/atom
density: 9.0 g cm⁻³

Cell lengths 4.6329, 5.8740, 6.4483 Å; angles 90.00, 133.63, 90.00 degrees
Last column: nearest neighbours and their distance in Å.
Space group Pc (No. 7)
Unique sites:
1 Sb 0.0000 0.0026 0.0000 [2 per cell]  4 Ir 2.74-2.78, 2 S 2.97-2.99
2 Ir 0.4999 0.2520 0.4943 [2 per cell]  2 S 2.26-2.32
3 S 0.4957 0.4119 0.8205 [2 per cell]  2 Ir 2.26-2.32



CdTeCl2: relaxed, GGA-PBE.

E above lowest polymorph: 92 meV per atom
DOS(E_F): 1.578 states/eV per cell
total magnetic moment: 0.00 Bohr magnetons per cell
formation energy without anion corrections: -0.45 eV/atom
density: 4.4 g cm⁻³

Cell lengths 11.3817, 3.6948, 5.7169 Å; angles 90.00, 100.71, 90.00 degrees
Last column: nearest neighbours and their distance in Å.
Space group Cm (No. 8)
Unique sites:
1 Cd 0.0000 0.0000 0.0000 [2 per cell]  4 Cl 2.66-2.97, 2 Te 2.96
2 Te 0.3342 0.0000 0.6976 [2 per cell]  1 Cl 2.54
3 Cl 0.1708 0.5000 0.0346 [2 per cell]  2 Cd 2.66
4 Cl 0.4701 0.0000 0.3909 [2 per cell]  1 Te 2.54



RbLiUS4: relaxed, GGA-PBE.

total magnetic moment: 0.00 Bohr magnetons per cell
formation energy without anion corrections: -1.16 eV/atom
density: 4.1 g cm⁻³

Cell lengths 6.6045, 6.6674, 8.4469 Å; angles 90.00, 97.55, 90.00 degrees
Last column: nearest neighbours and their distance in Å.
Space group P2_1/m (No. 11)
Unique sites:
1 Rb 0.2039 0.2500 0.0593 [2 per cell]  7 S 3.25-3.57, 1 Li 3.62
2 Li 0.3592 0.2500 0.6642 [2 per cell]  4 S 2.33-2.44
3 U 0.1758 0.7500 0.4509 [2 per cell]  6 S 2.48-2.67
4 S 0.0986 0.5048 0.6862 [4 per cell]  1 Li 2.44, 2 U 2.64-2.67
5 S 0.3119 0.7500 0.1874 [2 per cell]  1 Li 2.36, 1 U 2.51
6 S 0.4674 0.2500 0.4124 [2 per cell]  1 Li 2.33, 1 U 2.48



SeIO3: relaxed, GGA-PBE.

DOS(E_F): 0.718 states/eV per cell
total magnetic moment: 2.94 Bohr magnetons per cell
formation energy without anion corrections: 0.51 eV/atom
density: 5.8 g cm⁻³

Cell lengths 4.1676, 4.1676, 4.1676 Å; angles 90.00, 90.00, 90.00 degrees
Last column: nearest neighbours and their distance in Å.
Space group Pm-3m (No. 221)
Unique sites:
1 Se 0.0000 0.0000 0.0000 [1 per cell]  12 O 2.95
2 I 0.5000 0.5000 0.5000 [1 per cell]  6 O 2.08
3 O 0.0000 0.5000 0.5000 [3 per cell]  2 I 2.08